The following is a DFT calculation (PBE-GGA) of a relaxed Ce4CoGe crystal.

a = 5.1222 Å, b = 6.5159 Å, c = 8.0690 Å
α = 90.00°, β = 91.06°, γ = 90.00°
Space group P2_1/m (No. 11)
Symmetry-distinct sites (fractional):
1 Ce 0.2400 0.2500 0.3736 (multiplicity 2)
2 Ce 0.2444 0.7500 0.0324 (multiplicity 2)
3 Ce 0.2514 0.0354 0.7510 (multiplicity 4)
4 Co 0.2677 0.2500 0.0968 (multiplicity 2)
5 Ge 0.2535 0.7500 0.4162 (multiplicity 2)

## Properties
Total magnetic moment ... 0.00 μB per formula unit
E_form ... -0.322 eV per atom
Total energy ... -74.8 eV/cell